Here is a relaxed structure of TlZnHg2 from Alexandria via LeMat-Bulk. Energies are from GGA-PBEsol.

a = 3.457 Å, b = 3.457 Å, c = 7.565 Å
α = 90.00°, β = 90.00°, γ = 90.00°
Space group P4mm (No. 99)
Inequivalent atoms, fractional coordinates:
Tl 0.000 0.000 0.000
Zn 0.500 0.500 0.255
Hg 0.000 0.000 0.452
Hg 0.500 0.500 0.713

Calculated values
The value obtained for the formation energy is 0.0801 eV/atom. As for the density of states at the Fermi level: 0.373 states/eV per atom. Its raw total energy is -1.2563 eV per atom.